(1)
4
Lattice="-1.5731 3.1162 -2.8629 -1.1742 -1.1783 -4.1970 -4.3515 -0.0308 -1.2021" Properties=species:S:1:pos:R:3 comment="HfTiReIr (PBE, relaxed)" n_ef_per_ev_cell=0.99 mass_density_g_cm3=15.4 spacegroup="F-43m, No. 216" pbc="T T T"
Ti -1.7747 0.4768 -2.0655
Re 0.0000 0.0000 0.0000
Ir -3.5494 0.9536 -4.1310
Hf -5.3241 1.4303 -6.1965

(2)
8
Lattice="3.8591 0.0000 0.0000 0.0000 3.8591 0.0000 1.9296 1.9296 9.1860" Properties=species:S:1:pos:R:3 comment="HfIrRh2 (PBE, relaxed)" n_ef_per_ev_cell=10.63 mass_density_g_cm3=14.0 spacegroup="I-42d, No. 122" pbc="T T T"
Rh 0.8923 2.8943 2.2965
Rh 4.8239 4.8964 6.8895
Rh 2.8943 2.8219 6.8895
Rh 2.9668 0.9648 2.2965
Hf 1.9296 3.8591 4.5930
Hf 1.9296 1.9296 0.0000
Ir 3.8591 1.9296 4.5930
Ir 0.0000 0.0000 0.0000

(3)
11
Lattice="4.6921 0.0000 0.0000 0.0000 6.0259 -0.0286 -2.3461 -2.6314 7.9142" Properties=species:S:1:pos:R:3 comment="Hf8IrRh2 (PBE, relaxed)" n_ef_per_ev_cell=8.71 mass_density_g_cm3=13.6 spacegroup="C2/m, No. 12" pbc="T T T"
Hf 0.0000 4.2260 5.1813
Hf 0.0000 1.0194 6.4450
Hf 2.3461 2.3751 1.4406
Hf 2.3461 2.3860 4.6367
Hf 0.0000 1.0086 3.2490
Hf 2.3461 -1.1170 7.5681
Hf 0.0000 4.5116 0.3176
Hf 2.3461 -0.8314 2.7044
Rh 2.3461 -0.1764 5.2381
Rh 0.0000 3.5710 2.6476
Ir 2.3461 0.0000 0.0000

(4)
20
Lattice="-2.9249 3.1152 -5.5105 -5.9819 -0.7756 2.7366 0.6437 7.9321 3.6551" Properties=species:S:1:pos:R:3 comment="Hf6IrRh3 (PBE, relaxed)" n_ef_per_ev_cell=15.96 mass_density_g_cm3=12.9 spacegroup="P2_1/c, No. 14" pbc="T T T"
Hf -0.6576 6.5871 1.6980
Hf -3.7769 6.3581 2.8307
Hf -4.4863 3.9136 -1.9495
Hf -5.9489 0.9193 0.7182
Hf -6.0171 6.5820 -0.7001
Hf -2.4362 6.4035 -1.1246
Hf -5.7570 9.5488 0.5242
Hf -2.5062 0.7229 0.3570
Hf -2.2460 3.6897 1.5813
Hf -2.3143 9.3524 0.1630
Hf -5.8269 3.8682 2.0058
Hf -7.6056 3.6846 -0.8168
Ir 0.0000 0.0000 0.0000
Ir -4.1316 5.1358 0.4406
Rh -4.4534 1.1698 -1.3869
Rh -4.4137 8.4120 -1.6659
Rh -6.1763 7.2296 2.1621
Rh -2.0868 3.0421 -1.2809
Rh -3.8494 1.8597 2.5471
Rh 0.3218 3.9660 1.8275

(5)
4
Lattice="-1.1183 -2.8485 3.2781 -3.8064 -2.3547 -0.2772 0.1472 -4.4229 -0.7257" Properties=species:S:1:pos:R:3 comment="HfIrRh2 (PBE, relaxed)" n_ef_per_ev_cell=8.17 mass_density_g_cm3=15.0 spacegroup="Fm-3m, No. 225" pbc="T T T"
Ir -2.3887 -4.8130 1.1376
Rh -3.5831 -7.2195 1.7064
Rh -1.1944 -2.4065 0.5688
Hf 0.0000 0.0000 0.0000

(6)
14
Lattice="7.4888 0.0000 0.0000 0.0000 6.3244 -1.7120 0.0000 -0.0606 4.8524" Properties=species:S:1:pos:R:3 comment="Hf2IrRh4 (PBE, relaxed)" n_ef_per_ev_cell=10.36 mass_density_g_cm3=13.9 spacegroup="C2/m, No. 12" pbc="T T T"
Hf 3.7444 4.7015 1.7072
Hf 7.4887 4.7245 0.5773
Hf 3.7444 1.5623 1.4332
Hf 0.0001 1.5393 2.5631
Ir 3.7444 3.1622 -0.8560
Ir 0.0000 0.0000 0.0000
Rh 2.3891 0.6897 3.6050
Rh 6.1334 2.4119 0.3916
Rh 1.3554 2.4120 0.3915
Rh 5.0997 5.5741 -0.4645
Rh 5.0999 0.6897 3.6048
Rh 6.1334 3.8518 2.7490
Rh 1.3554 3.8519 2.7489
Rh 2.3889 5.5741 -0.4644

(7)
10
Lattice="3.2774 0.0000 0.0000 0.0000 3.2774 0.0000 0.0000 0.0000 16.2854" Properties=species:S:1:pos:R:3 comment="Hf5IrRh4 (PBE, relaxed)" n_ef_per_ev_cell=5.74 mass_density_g_cm3=14.2 spacegroup="P4/mmm, No. 123" pbc="T T T"
Rh 0.0000 0.0000 3.2671
Rh 0.0000 0.0000 9.7675
Rh 0.0000 0.0000 6.5178
Rh 0.0000 0.0000 13.0182
Hf 1.6387 1.6387 14.6620
Hf 1.6387 1.6387 11.3982
Hf 1.6387 1.6387 8.1427
Hf 1.6387 1.6387 1.6234
Hf 1.6387 1.6387 4.8872
Ir 0.0000 0.0000 0.0000

(8)
8
Lattice="4.5474 -0.0025 0.0017 0.0038 5.4238 -2.1177 -0.0023 -0.1417 5.8209" Properties=species:S:1:pos:R:3 comment="Hf2IrRh (PBE, relaxed)" n_ef_per_ev_cell=5.34 mass_density_g_cm3=15.2 de_polymorph_mev_per_atom=0 spacegroup="Cmcm, No. 63" pbc="T T T"
Rh 3.4120 3.2685 0.9551
Rh 1.1369 2.0110 2.7498
Hf 3.4102 0.6019 1.8452
Hf 3.4110 3.3409 3.7654
Hf 1.1388 4.6776 1.8597
Hf 1.1380 1.9386 -0.0605
Ir 3.4093 0.7589 4.5348
Ir 1.1397 4.5207 -0.8300

Values of energy, in order: -41.98, -68.65, -108.09, -191.44, -34.87, -123.86, -96.84, -79.55, all in eV/cell.